GGA-PBEsol Y2AlPd2, optimized geometry; calculated formation energy = -0.818 eV/atom; final energy = -6.748 eV/atom; magnetization = 0.0000 μB/atom; N(E_F) = 6.15 states/eV per cell
1.0
-3.532 0.740 1.302
1.444 -3.791 6.073
2.458 6.081 3.211
Y Pd Al
4 4 2
Direct
0.500 0.174 0.674 Y
0.500 0.826 0.326 Y
0.500 0.326 0.174 Y
0.500 0.674 0.826 Y
0.000 0.367 0.867 Pd
0.000 0.633 0.133 Pd
0.000 0.133 0.367 Pd
0.000 0.867 0.633 Pd
0.000 0.000 0.000 Al
0.000 0.500 0.500 Al


GGA-PBEsol RbMgRuSe2, optimized geometry; final energy = -2.500 eV/atom; formation energy without anion corrections = 1622.7 meV/atom; magnetization = 0.5642 μB/atom; N(E_F) = 9.22 states/eV per cell
1.0
-1.178 -3.686 2.886
-0.521 -3.419 -4.579
5.540 -1.429 0.437
Rb Se Ru Mg
1 2 1 1
Direct
0.000 0.000 0.000 Rb
0.000 0.000 0.500 Se
0.000 0.500 0.000 Se
0.500 0.000 0.000 Ru
0.500 0.500 0.500 Mg


GGA-PBEsol TiP2, optimized geometry; calculated formation energy = -0.927 eV/atom; final energy = -7.562 eV/atom; magnetization = 0.0000 μB/atom; N(E_F) = 2.59 states/eV per cell
1.0
3.300 0.000 0.000
0.000 6.089 0.000
0.000 0.000 8.191
Ti P
4 8
Direct
0.250 0.263 0.168 Ti
0.750 0.237 0.668 Ti
0.750 0.737 0.832 Ti
0.250 0.763 0.332 Ti
0.750 0.084 0.366 P
0.250 0.416 0.866 P
0.750 0.624 0.540 P
0.750 0.584 0.134 P
0.750 0.124 0.960 P
0.250 0.376 0.460 P
0.250 0.876 0.040 P
0.250 0.916 0.634 P


GGA-PBEsol LiZn2Au, optimized geometry; calculated formation energy = -0.289 eV/atom; final energy = -2.553 eV/atom; magnetization = 0.0000 μB/atom; N(E_F) = 1.16 states/eV per cell; energy above the most stable polymorph in this dataset = 86 meV/atom
1.0
-1.333 1.423 1.997
-4.033 -0.632 -2.243
0.608 -4.395 1.588
Li Zn Au
1 2 1
Direct
0.000 0.500 0.000 Li
0.246 0.252 0.492 Zn
0.754 0.748 0.508 Zn
0.500 0.000 0.000 Au


GGA-PBEsol Zn2NiPb, optimized geometry; calculated formation energy = 0.173 eV/atom; final energy = -3.157 eV/atom; magnetization = 0.0001 μB/atom; N(E_F) = 1.76 states/eV per cell
1.0
2.991 0.000 0.000
0.000 4.616 0.000
-1.496 -2.308 4.824
Zn Ni Pb
2 1 1
Direct
0.211 0.211 0.421 Zn
0.789 0.789 0.579 Zn
0.500 0.000 0.000 Ni
0.000 0.500 0.000 Pb


GGA-PBEsol Na2FeAu, optimized geometry; calculated formation energy = 0.656 eV/atom; final energy = -3.266 eV/atom; magnetization = 0.7912 μB/atom; N(E_F) = 3.84 states/eV per cell
1.0
-1.933 -0.955 4.252
2.361 -2.701 3.139
1.822 1.966 3.942
Na Fe Au
2 1 1
Direct
0.250 0.250 0.250 Na
0.750 0.750 0.750 Na
0.000 0.000 0.000 Fe
0.500 0.500 0.500 Au


GGA-PBEsol Cs2KInBr6, optimized geometry; final energy = -3.129 eV/atom; formation energy without anion corrections = -1406.7 meV/atom; magnetization = 0.0000 μB/atom; N(E_F) = 0.00 states/eV per cell
1.0
-2.499 -1.991 7.436
5.103 -3.584 5.160
2.776 4.064 6.426
Br In Cs K
6 1 2 1
Direct
0.233 0.767 0.233 Br
0.767 0.233 0.233 Br
0.767 0.233 0.767 Br
0.767 0.767 0.233 Br
0.233 0.233 0.767 Br
0.233 0.767 0.767 Br
0.000 0.000 0.000 In
0.250 0.250 0.250 Cs
0.750 0.750 0.750 Cs
0.500 0.500 0.500 K


GGA-PBEsol Sr2Au, optimized geometry; calculated formation energy = -0.511 eV/atom; final energy = -3.046 eV/atom; magnetization = 0.0000 μB/atom; N(E_F) = 4.07 states/eV per cell
1.0
4.111 0.000 0.000
-2.056 6.955 0.000
0.000 0.000 7.444
Sr Au
4 2
Direct
0.776 0.553 0.032 Sr
0.513 0.027 0.208 Sr
0.224 0.447 0.532 Sr
0.487 0.973 0.708 Sr
0.114 0.228 0.927 Au
0.886 0.772 0.427 Au


GGA-PBEsol BaTaBr2, optimized geometry; final energy = -4.820 eV/atom; formation energy without anion corrections = -210.3 meV/atom; magnetization = 0.0000 μB/atom; N(E_F) = 2.54 states/eV per cell; energy above the most stable polymorph in this dataset = 0 meV/atom
1.0
3.434 0.000 0.000
-1.717 4.193 -0.001
0.000 -1.335 6.708
Ta Ba Br
1 1 2
Direct
0.000 0.000 0.500 Ta
0.500 0.000 0.000 Ba
0.733 0.467 0.685 Br
0.267 0.533 0.315 Br


GGA-PBEsol Li4OsRu, optimized geometry; calculated formation energy = 0.444 eV/atom; final energy = -4.598 eV/atom; magnetization = 0.0001 μB/atom; N(E_F) = 4.98 states/eV per cell
1.0
4.581 0.000 0.000
2.291 3.968 0.000
2.291 1.323 3.741
Li Os Ru
4 1 1
Direct
0.874 0.375 0.375 Li
0.375 0.375 0.375 Li
0.375 0.874 0.375 Li
0.375 0.375 0.874 Li
0.750 0.750 0.750 Os
0.000 0.000 0.000 Ru


GGA-PBEsol NaAsAu3, optimized geometry; calculated formation energy = 0.114 eV/atom; final energy = -3.542 eV/atom; magnetization = 0.0000 μB/atom; N(E_F) = 2.39 states/eV per cell
1.0
-3.861 2.934 -0.821
-2.498 -3.808 -1.859
-1.745 -1.042 4.479
Au As Na
3 1 1
Direct
0.000 0.500 0.000 Au
0.500 0.000 0.000 Au
0.000 0.000 0.500 Au
0.000 0.000 0.000 As
0.500 0.500 0.500 Na


GGA-PBEsol ScGeBi3, optimized geometry; calculated formation energy = 0.516 eV/atom; final energy = -4.364 eV/atom; magnetization = 0.0000 μB/atom; N(E_F) = 5.26 states/eV per cell; energy above the most stable polymorph in this dataset = 68 meV/atom
1.0
5.398 0.000 0.000
0.000 5.398 0.000
0.000 0.000 5.398
Bi Ge Sc
3 1 1
Direct
0.000 0.500 0.000 Bi
0.000 0.000 0.500 Bi
0.500 0.000 0.000 Bi
0.000 0.000 0.000 Ge
0.500 0.500 0.500 Sc


GGA-PBEsol LaAlIn, optimized geometry; calculated formation energy = -0.291 eV/atom; final energy = -4.431 eV/atom; magnetization = 0.0004 μB/atom; N(E_F) = 2.12 states/eV per cell
1.0
-2.865 -1.517 1.427
-0.905 -1.278 -3.177
5.043 -3.542 1.964
In Al La
1 1 1
Direct
0.357 0.357 0.713 In
0.983 0.983 0.965 Al
0.661 0.661 0.321 La


GGA-PBEsol Li4Fe3Sn2Sb3O16, optimized geometry; final energy = -6.530 eV/atom; formation energy without anion corrections = -1496.7 meV/atom; magnetization = 0.4404 μB/atom; N(E_F) = 8.95 states/eV per cell
1.0
-1.838 5.133 2.879
0.286 -5.347 3.114
9.282 1.978 2.399
O Sb Fe Li Sn
16 3 3 4 2
Direct
0.673 0.828 0.403 O
0.155 0.828 0.403 O
0.481 0.963 0.653 O
0.485 0.523 0.658 O
0.038 0.523 0.658 O
0.834 0.668 0.905 O
0.671 0.342 0.396 O
0.159 0.319 0.398 O
0.003 0.006 0.686 O
0.964 0.487 0.160 O
0.842 0.166 0.900 O
0.324 0.166 0.900 O
0.991 0.983 0.197 O
0.522 0.487 0.160 O
0.518 0.036 0.159 O
0.331 0.663 0.897 O
0.661 0.828 0.786 Sb
0.167 0.828 0.786 Sb
0.827 0.654 0.287 Sb
0.338 0.160 0.287 Fe
0.822 0.160 0.287 Fe
0.168 0.336 0.786 Fe
0.337 0.673 0.112 Li
0.020 0.040 0.016 Li
0.670 0.341 0.596 Li
0.009 0.018 0.500 Li
0.323 0.646 0.500 Sn
0.659 0.318 0.016 Sn


GGA-PBEsol CaAgW, optimized geometry; calculated formation energy = 0.771 eV/atom; final energy = -5.646 eV/atom; magnetization = 0.0001 μB/atom; N(E_F) = 2.84 states/eV per cell
1.0
2.914 0.000 0.000
-1.457 2.524 0.000
0.000 0.000 7.622
Ca Ag W
1 1 1
Direct
0.333 0.667 0.665 Ca
0.000 0.000 0.012 Ag
0.667 0.333 0.324 W


GGA-PBEsol Sr2YSc, optimized geometry; calculated formation energy = 0.350 eV/atom; final energy = -3.927 eV/atom; magnetization = 0.4457 μB/atom; N(E_F) = 7.51 states/eV per cell; energy above the most stable polymorph in this dataset = 13 meV/atom
1.0
-2.980 -4.089 0.947
0.958 0.468 5.036
-3.344 5.106 -2.469
Y Sr Sc
1 2 1
Direct
0.500 0.500 0.000 Y
0.250 0.750 0.500 Sr
0.750 0.250 0.500 Sr
0.000 0.000 0.000 Sc


GGA-PBEsol CoMoPt2, optimized geometry; calculated formation energy = 0.096 eV/atom; final energy = -8.262 eV/atom; magnetization = 0.4888 μB/atom; N(E_F) = 5.70 states/eV per cell; energy above the most stable polymorph in this dataset = 290 meV/atom
1.0
-0.840 -1.300 -2.188
4.399 -0.649 -1.304
0.103 -3.999 2.337
Pt Mo Co
2 1 1
Direct
0.000 0.500 0.000 Pt
0.000 0.000 0.500 Pt
0.500 0.000 0.000 Mo
0.500 0.500 0.500 Co


GGA-PBEsol YMgP2, optimized geometry; calculated formation energy = -0.668 eV/atom; final energy = -5.699 eV/atom; magnetization = 0.0000 μB/atom; N(E_F) = 2.20 states/eV per cell
1.0
3.497 0.000 0.000
0.000 3.497 0.000
0.000 0.000 6.031
Mg Y P
1 1 2
Direct
0.500 0.500 0.500 Mg
0.500 0.500 0.000 Y
0.000 0.000 0.257 P
0.000 0.000 0.743 P


GGA-PBEsol Cd2BiTe, optimized geometry; final energy = -2.406 eV/atom; formation energy without anion corrections = 145.4 meV/atom; magnetization = 0.0000 μB/atom; N(E_F) = 2.53 states/eV per cell
1.0
5.257 0.000 0.000
2.629 4.553 0.000
2.629 1.518 4.293
Cd Te Bi
2 1 1
Direct
0.250 0.250 0.250 Cd
0.750 0.750 0.750 Cd
0.000 0.000 0.000 Te
0.500 0.500 0.500 Bi


GGA-PBEsol MgInHg, optimized geometry; calculated formation energy = -0.128 eV/atom; final energy = -1.884 eV/atom; magnetization = 0.0000 μB/atom; N(E_F) = 1.23 states/eV per cell
1.0
-0.543 -1.917 -2.752
3.872 -1.744 0.451
-3.470 -1.488 3.819
In Mg Hg
1 1 1
Direct
0.666 0.666 0.332 In
0.337 0.337 0.674 Mg
0.997 0.997 0.994 Hg


GGA-PBEsol BaTaCd2, optimized geometry; calculated formation energy = 0.268 eV/atom; final energy = -4.005 eV/atom; magnetization = 0.0001 μB/atom; N(E_F) = 2.43 states/eV per cell; energy above the most stable polymorph in this dataset = 0 meV/atom
1.0
3.134 0.000 0.000
0.000 3.134 0.000
0.000 0.000 9.465
Cd Ta Ba
2 1 1
Direct
0.000 0.000 0.208 Cd
0.000 0.000 0.792 Cd
0.500 0.500 0.000 Ta
0.500 0.500 0.500 Ba


GGA-PBEsol CaBeW, optimized geometry; calculated formation energy = 1.843 eV/atom; final energy = -4.804 eV/atom; magnetization = 0.7119 μB/atom; N(E_F) = 1.56 states/eV per cell
1.0
-3.519 -2.434 1.065
0.528 -3.827 2.125
-1.231 -0.368 4.218
Ca W Be
1 1 1
Direct
0.500 0.500 0.500 Ca
0.250 0.250 0.250 W
0.000 0.000 0.000 Be


GGA-PBEsol CuSb3P, optimized geometry; final energy = -3.859 eV/atom; formation energy without anion corrections = 900.0 meV/atom; magnetization = 0.0000 μB/atom; N(E_F) = 3.75 states/eV per cell
1.0
-4.986 -0.942 -0.545
1.067 -3.727 -3.320
0.215 -3.357 3.838
Sb Cu P
3 1 1
Direct
0.000 0.000 0.500 Sb
0.000 0.500 0.000 Sb
0.500 0.000 0.000 Sb
0.500 0.500 0.500 Cu
0.000 0.000 0.000 P


GGA-PBEsol ZrRe2Sb, optimized geometry; final energy = -9.805 eV/atom; formation energy without anion corrections = 272.5 meV/atom; magnetization = 0.0001 μB/atom; N(E_F) = 2.63 states/eV per cell
1.0
-2.937 1.711 -0.150
-1.875 -2.991 2.606
1.253 2.480 3.747
Re Sb Zr
2 1 1
Direct
0.000 0.000 0.000 Re
0.500 0.500 0.000 Re
0.500 0.000 0.500 Sb
0.000 0.500 0.500 Zr


GGA-PBEsol LiTe2Se, optimized geometry; final energy = -3.338 eV/atom; formation energy without anion corrections = -121.0 meV/atom; magnetization = 0.0001 μB/atom; N(E_F) = 3.06 states/eV per cell
1.0
-3.058 -0.100 2.832
-2.657 -1.349 -2.916
4.150 -4.441 1.255
Te Li Se
2 1 1
Direct
0.750 0.250 0.500 Te
0.000 0.000 0.000 Te
0.500 0.500 0.000 Li
0.250 0.750 0.500 Se


GGA-PBEsol ThMgHg2, optimized geometry; calculated formation energy = -0.384 eV/atom; final energy = -3.124 eV/atom; magnetization = 0.0000 μB/atom; N(E_F) = 1.69 states/eV per cell
1.0
5.136 0.000 0.000
2.568 4.448 0.000
2.568 1.483 4.194
Th Hg Mg
1 2 1
Direct
0.000 0.000 0.000 Th
0.750 0.750 0.750 Hg
0.250 0.250 0.250 Hg
0.500 0.500 0.500 Mg


GGA-PBEsol Co2TcPb, optimized geometry; calculated formation energy = 0.552 eV/atom; final energy = -7.132 eV/atom; magnetization = 1.0133 μB/atom; N(E_F) = 4.68 states/eV per cell
1.0
-2.185 -2.382 1.161
0.993 -2.429 -3.113
2.980 -1.644 2.234
Pb Tc Co
1 1 2
Direct
0.500 0.500 0.500 Pb
0.500 0.000 0.000 Tc
0.000 0.000 0.500 Co
0.000 0.500 0.000 Co


GGA-PBEsol Mg2ScAg, optimized geometry; calculated formation energy = -0.093 eV/atom; final energy = -3.431 eV/atom; magnetization = 0.0000 μB/atom; N(E_F) = 3.00 states/eV per cell
1.0
3.194 0.000 -0.017
0.000 4.420 0.000
-1.584 0.000 5.907
Mg Sc Ag
2 1 1
Direct
0.803 0.500 0.232 Mg
0.189 0.000 0.005 Mg
0.455 0.000 0.535 Sc
0.053 0.500 0.728 Ag